Density functional theory data (PBE) for crystalline LaTaAlO6 at its relaxed geometry.

The raw formation energy is -2.841 eV/atom.

Lattice parameters (Å, degrees): 5.1882 5.1883 5.1712 90.00 90.00 60.00
Last column: nearest neighbours and their distance in Å.
Sites, in units of the cell vectors:
1 La 0.0000 0.0000 0.0000  6 O 2.45
2 Ta 0.3333 0.3333 0.5000  6 O 2.00
3 Al 0.6666 0.6667 0.5000  6 O 1.93
4 O 0.9894 0.3780 0.2908  1 Al 1.93, 1 Ta 2.00
5 O 0.3779 0.9895 0.7091  1 Al 1.93, 1 Ta 2.00
6 O 0.6325 0.3780 0.7092  1 Al 1.93, 1 Ta 2.00
7 O 0.9894 0.6326 0.7092  1 Al 1.93, 1 Ta 2.00
8 O 0.3780 0.6326 0.2908  1 Al 1.93, 1 Ta 2.00
9 O 0.6325 0.9894 0.2908  1 Al 1.93, 1 Ta 2.00

Density functional theory data (PBE) for crystalline K3LiBi at its relaxed geometry.

The value obtained for the energy of formation is -205 meV/atom. Its offset from the most stable computed form is 0.0227 eV per atom.

Lattice parameters (Å, degrees): 8.6309 8.6309 8.6309 82.57 122.51 126.29
Last column: nearest neighbours and their distance in Å.
Sites, in units of the cell vectors:
1 K 0.0360 0.2757 0.7428  1 Li 3.36
2 K 0.0360 0.7932 0.2603  1 Li 3.36
3 K 0.5329 0.7757 0.7397  1 Li 3.36
4 K 0.1085 0.2800 0.3285  2 Li 3.35-3.36, 1 Bi 3.60
5 K 0.5329 0.2932 0.2572  1 Li 3.36
6 K 0.9515 0.7800 0.6715  2 Li 3.35-3.36, 1 Bi 3.60
7 Li 0.5292 0.0294 0.9998  2 Bi 2.77-2.78
8 Li 0.0297 0.5294 0.0002  2 Bi 2.77-2.78
9 Bi 0.5179 0.7799 0.2379  2 Li 2.77-2.78
10 Bi 0.5420 0.2799 0.7621  2 Li 2.77-2.78

Density functional theory data (PBE) for crystalline Li5Tl2In at its relaxed geometry.

The value obtained for the energy of formation is -230 meV/atom. Its offset from the most stable computed form is 0.0098 eV per atom.

Lattice parameters (Å, degrees): 5.8737 5.8737 5.8736 110.50 110.50 107.44
Last column: nearest neighbours and their distance in Å.
Sites, in units of the cell vectors:
1 Li 0.2779 0.2782 0.5004  4 Tl 2.94, 2 In 2.94, 2 Li 2.94
2 Li 0.2782 0.7775 0.0000  4 Tl 2.94, 2 In 2.94, 2 Li 2.94
3 Li 0.7778 0.2780 0.0000  4 Tl 2.94, 2 In 2.94, 2 Li 2.94
4 Li 0.7775 0.7778 0.4996  4 Tl 2.94, 2 Li 2.94, 2 In 2.94
5 Li 0.2776 0.2773 0.0000  8 Li 2.94
6 Tl 0.2779 0.7780 0.5001  8 Li 2.94
7 Tl 0.7778 0.2779 0.4999  8 Li 2.94
8 In 0.7783 0.7782 0.0000  8 Li 2.94

Density functional theory data (PBE) for crystalline Te2HIr at its relaxed geometry.

Its offset from the most stable computed form is 0.0000 eV per atom.

Lattice parameters (Å, degrees): 6.9431 6.9431 6.9431 34.35 34.35 34.35
Last column: nearest neighbours and their distance in Å.
Sites, in units of the cell vectors:
1 H 0.0000 0.0000 0.0000  2 Te 1.99
2 Ir 0.5000 0.5000 0.5000  6 Te 2.69
3 Te 0.1019 0.1019 0.1019  1 H 1.99
4 Te 0.8981 0.8981 0.8981  1 H 1.99

Density functional theory data (PBE) for crystalline Ca2Ga4AgPt3 at its relaxed geometry.

The value obtained for the energy of formation is -742 meV/atom.

Lattice parameters (Å, degrees): 4.3171 4.3171 10.5726 90.00 90.00 90.00
Last column: nearest neighbours and their distance in Å.
Sites, in units of the cell vectors:
1 Ca 0.5000 0.0000 0.2456  6 Pt 3.29-3.45, 8 Ga 3.31-3.38, 2 Ag 3.45
2 Ca 0.0000 0.5000 0.7544  6 Pt 3.29-3.45, 8 Ga 3.31-3.38, 2 Ag 3.45
3 Ga 0.5000 0.5000 0.0000  4 Pt 2.56
4 Ga 0.0000 0.0000 0.0000  4 Pt 2.56
5 Ga 0.5000 0.0000 0.6346  3 Pt 2.48-2.59, 2 Ag 2.59
6 Ga 0.0000 0.5000 0.3654  3 Pt 2.48-2.59, 2 Ag 2.59
7 Ag 0.5000 0.5000 0.5000  4 Ga 2.59
8 Pt 0.0000 0.0000 0.5000  4 Ga 2.59
9 Pt 0.5000 0.0000 0.8693  5 Ga 2.48-2.56
10 Pt 0.0000 0.5000 0.1307  5 Ga 2.48-2.56

Density functional theory data (PBE) for crystalline Y2TmOs at its relaxed geometry.

The value obtained for the energy of formation is 309 meV/atom. Its offset from the most stable computed form is 0.5686 eV per atom.

Lattice parameters (Å, degrees): 3.4267 3.4267 10.9880 81.03 81.03 60.00
Last column: nearest neighbours and their distance in Å.
Sites, in units of the cell vectors:
1 Y 0.1042 0.1042 0.6874  3 Os 2.83
2 Y 0.8958 0.8958 0.3126  3 Os 2.83
3 Tm 0.0000 0.0000 0.0000  2 Y 3.38, 6 Tm 3.43
4 Os 0.5000 0.5000 0.5000  6 Y 2.83

Density functional theory data (PBE) for crystalline Dy4Zn3Ga at its relaxed geometry.

The value obtained for the energy of formation is -408 meV/atom. Its offset from the most stable computed form is 0.0000 eV per atom.

Lattice parameters (Å, degrees): 5.0450 5.0450 8.7537 73.25 73.25 60.00
Last column: nearest neighbours and their distance in Å.
Sites, in units of the cell vectors:
1 Zn 0.2480 0.2480 0.2559  8 Dy 3.05-3.15
2 Zn 0.7520 0.7520 0.7441  8 Dy 3.05-3.15
3 Zn 0.5000 0.5000 0.5000  8 Dy 3.09
4 Ga 0.0000 0.0000 0.0000  8 Dy 3.09-3.10
5 Dy 0.8750 0.8750 0.3751  7 Zn 3.05-3.09, 1 Ga 3.10
6 Dy 0.3751 0.3751 0.8747  3 Ga 3.09, 5 Zn 3.09-3.15
7 Dy 0.1250 0.1250 0.6249  7 Zn 3.05-3.09, 1 Ga 3.10
8 Dy 0.6249 0.6249 0.1253  3 Ga 3.09, 5 Zn 3.09-3.15

Density functional theory data (PBE) for crystalline TlFe2Pt at its relaxed geometry.

The value obtained for the energy of formation is 254 meV/atom. Its offset from the most stable computed form is 0.0645 eV per atom.

Lattice parameters (Å, degrees): 4.4680 4.4680 4.4680 60.00 60.00 60.00
Last column: nearest neighbours and their distance in Å.
Sites, in units of the cell vectors:
1 Fe 0.0000 0.0000 0.0000  4 Fe 2.74, 4 Tl 2.74
2 Fe 0.2500 0.2500 0.2500  4 Fe 2.74, 4 Pt 2.74
3 Pt 0.5000 0.5000 0.5000  4 Tl 2.74, 4 Fe 2.74
4 Tl 0.7500 0.7500 0.7500  4 Fe 2.74, 4 Pt 2.74

no.,E (Ry per atom),Fermi-level density of states (states/eV/f.u.)
1,-0.6193,6.958
2,-0.1487,1.919
3,-0.1734,5.093
4,-0.3426,0.000
5,-0.3271,5.149
6,-0.5033,6.517
7,-0.2620,8.609
8,-0.4468,3.325